{
  "formula": "BaAlF2",
  "functional": "PBE",
  "state": "optimized geometry",
  "spacegroup": "Fm-3m (225)",
  "e_above_lowest_polymorph_mev_per_atom": 492,
  "lattice_angstrom": [[4.750, 0.191, 1.005], [1.746, 3.555, 2.814], [1.577, -1.005, 4.485]],
  "species": ["Ba", "F", "F", "Al"],
  "frac_coords": [[0.500, 0.500, 0.500], [0.750, 0.750, 0.750], [0.250, 0.250, 0.250], [0.000, 0.000, 0.000]]
}